No. 1
A plane-wave DFT calculation with PBE-GGA was carried out for an optimized crystal structure of KAl2GeSe.

Values from the calculation:
* calculated density: 2.8 g/cm³
* magnetization: 0.0000 μB/atom
* DFT total energy: -3.067 eV per atom

a b c (Å): 4.8771 6.0325 4.8771
angles (deg): 90.00 90.00 90.00
Element x y z (fractional)
K 0.0000 0.5000 0.0000
Se 0.5000 0.5000 0.5000
Al 0.0000 0.0000 0.5000
Al 0.5000 0.0000 0.0000
Ge 0.0000 0.0000 0.0000



No. 2
A plane-wave DFT calculation with PBE-GGA was carried out for an optimized crystal structure of KAl2TcGe.

Values from the calculation:
* energy relative to the elements: -112 meV per atom
* calculated density: 3.8 g/cm³
* magnetization: 0.0000 μB/atom

a b c (Å): 4.9008 4.9008 4.8289
angles (deg): 90.00 90.00 90.00
Element x y z (fractional)
Ge 0.0000 0.0000 0.5000
Tc 0.0000 0.0000 0.0000
K 0.5000 0.5000 0.5000
Al 0.0000 0.5000 0.0000
Al 0.5000 0.0000 0.0000



No. 3
A plane-wave DFT calculation with PBE-GGA was carried out for an optimized crystal structure of KAlTcGe2.

Values from the calculation:
* energy relative to the elements: -15 meV per atom
* calculated density: 4.4 g/cm³
* magnetization: 0.0000 μB/atom

a b c (Å): 4.8887 4.8887 4.8666
angles (deg): 90.00 90.00 90.00
Element x y z (fractional)
K 0.5000 0.5000 0.5000
Tc 0.0000 0.0000 0.0000
Ge 0.5000 0.0000 0.0000
Ge 0.0000 0.5000 0.0000
Al 0.0000 0.0000 0.5000



No. 4
A plane-wave DFT calculation with PBE-GGA was carried out for an optimized crystal structure of KAlV2Ge.

Values from the calculation:
* energy relative to the elements: 2278 meV per atom
* calculated density: 3.0 g/cm³
* magnetization: 1.5125 μB/atom

a b c (Å): 4.9936 5.2887 4.9936
angles (deg): 90.00 90.00 90.00
Each line ends with the local moment (μB).
Element x y z (fractional)
K 0.0000 0.0000 0.0000  0.26
Ge 0.5000 0.5000 0.5000  -0.13
V 0.0000 0.0000 0.5000  3.07
V 0.5000 0.0000 0.0000  3.08
Al 0.0000 0.5000 0.0000  -0.02



No. 5
A plane-wave DFT calculation with PBE-GGA was carried out for an optimized crystal structure of KAl2GeW.

Values from the calculation:
* energy relative to the elements: 198 meV per atom
* calculated density: 4.7 g/cm³
* magnetization: 0.0000 μB/atom

a b c (Å): 5.0244 4.9443 5.0244
angles (deg): 90.00 90.00 90.00
Element x y z (fractional)
K 0.5000 0.5000 0.5000
Ge 0.0000 0.5000 0.0000
Al 0.0000 0.0000 0.5000
Al 0.5000 0.0000 0.0000
W 0.0000 0.0000 0.0000



No. 6
A plane-wave DFT calculation with PBE-GGA was carried out for an optimized crystal structure of KAlZnGe2.

Values from the calculation:
* energy relative to the elements: -108 meV per atom
* calculated density: 4.2 g/cm³
* magnetization: 0.0000 μB/atom

a b c (Å): 4.4851 4.4851 6.2655
angles (deg): 110.97 110.97 90.00
Element x y z (fractional)
K 0.0000 0.0000 0.0000
Al 0.7500 0.2500 0.5000
Ge 0.3792 0.3792 0.7584
Ge 0.6208 0.6208 0.2416
Zn 0.2500 0.7500 0.5000



No. 7
A plane-wave DFT calculation with PBE-GGA was carried out for an optimized crystal structure of La2Al3Ge.

Values from the calculation:
* energy relative to the elements: -604 meV per atom
* calculated density: 4.9 g/cm³
* magnetization: 0.0000 μB/atom

a b c (Å): 4.4192 4.3871 7.5943
angles (deg): 90.00 90.00 90.00
Element x y z (fractional)
Al 0.5000 0.5000 0.6665
Al 0.5000 0.0000 0.1661
Al 0.5000 0.0000 0.8309
Ge 0.5000 0.5000 0.3357
La 0.0000 0.0000 0.4946
La 0.0000 0.5000 0.0062



No. 8
A plane-wave DFT calculation with PBE-GGA was carried out for an optimized crystal structure of LaAlGe2.

Values from the calculation:
* energy relative to the elements: -453 meV per atom
* calculated density: 5.8 g/cm³
* magnetization: 0.0000 μB/atom

a b c (Å): 4.4676 4.4676 5.7889
angles (deg): 67.30 67.30 60.00
Element x y z (fractional)
Al 0.5000 0.5000 0.5000
La 0.0000 0.0000 0.0000
Ge 0.2153 0.2153 0.3541
Ge 0.7847 0.7847 0.6459



No. 9
A plane-wave DFT calculation with PBE-GGA was carried out for an optimized crystal structure of La6AlGe2.

Values from the calculation:
* energy relative to the elements: -492 meV per atom
* calculated density: 6.0 g/cm³
* magnetization: 0.0000 μB/atom

a b c (Å): 8.9893 8.9893 8.9893
angles (deg): 107.40 109.02 112.02
Element x y z (fractional)
La 0.1980 0.2523 0.4503
La 0.2900 0.9620 0.6721
La 0.0913 0.2687 0.8226
La 0.7100 0.0380 0.3279
La 0.5539 0.7313 0.8226
La 0.1980 0.7477 0.9457
La 0.2900 0.6179 0.3279
La 0.8020 0.2523 0.0543
La 0.9087 0.7313 0.1774
La 0.8020 0.7477 0.5497
La 0.4461 0.2687 0.1774
La 0.7100 0.3821 0.6721
Ge 0.3591 0.0000 0.3591
Ge 0.6409 0.0000 0.6409
Ge 0.5000 0.3815 0.8815
Ge 0.5000 0.6185 0.1185
Al 0.0000 0.5000 0.5000
Al 0.0000 0.0000 0.0000



No. 10
A plane-wave DFT calculation with PBE-GGA was carried out for an optimized crystal structure of La5Al2Ge.

Values from the calculation:
* energy relative to the elements: -422 meV per atom
* calculated density: 5.7 g/cm³
* magnetization: 0.0000 μB/atom

a b c (Å): 8.5224 8.5224 8.8950
angles (deg): 118.62 118.62 90.00
Element x y z (fractional)
Al 0.8831 0.6169 0.0000
Al 0.6169 0.1169 0.0000
Al 0.1169 0.3831 0.0000
Al 0.3831 0.8831 0.0000
La 0.5000 0.5000 0.0000
La 0.5203 0.6720 0.6922
La 0.3280 0.8280 0.3078
La 0.0000 0.0000 0.0000
La 0.9797 0.4797 0.3078
La 0.8280 0.9797 0.3078
La 0.1720 0.0203 0.6922
La 0.0203 0.5203 0.6922
La 0.4797 0.3280 0.3078
La 0.6720 0.1720 0.6922
Ge 0.7500 0.7500 0.5000
Ge 0.2500 0.2500 0.5000



No. 11
A plane-wave DFT calculation with PBE-GGA was carried out for an optimized crystal structure of La6Al2Ge.

Values from the calculation:
* energy relative to the elements: -365 meV per atom
* calculated density: 5.8 g/cm³
* relative energy among the computed polymorphs: 0.000 eV per atom
* magnetization: 0.0002 μB/atom

a b c (Å): 4.4853 8.4354 8.4358
angles (deg): 120.00 90.00 90.00
Element x y z (fractional)
Al 0.0000 0.6667 0.3334
Al 0.0000 0.3333 0.6666
Ge 0.5000 0.0000 0.0000
La 0.5000 0.4039 0.4039
La 0.5000 0.0000 0.5961
La 0.0000 0.7351 0.7351
La 0.0000 0.0000 0.2649
La 0.5000 0.5960 0.0000
La 0.0000 0.2650 0.0000



No. 12
A plane-wave DFT calculation with PBE-GGA was carried out for an optimized crystal structure of La3Al4Ge2.

Values from the calculation:
* energy relative to the elements: -638 meV per atom
* calculated density: 5.1 g/cm³
* magnetization: 0.0000 μB/atom

a b c (Å): 4.3480 6.2136 8.7533
angles (deg): 99.45 90.00 110.48
Element x y z (fractional)
Al 0.7271 0.4542 0.0607
Al 0.2729 0.5458 0.9393
Al 0.9503 0.9005 0.6170
Al 0.0497 0.0995 0.3830
La 0.6677 0.3353 0.6649
La 0.0000 0.0000 0.0000
La 0.3323 0.6647 0.3351
Ge 0.3875 0.7750 0.7215
Ge 0.6125 0.2250 0.2785